Material: MnAlBiSb2
Method: DFT, PBE-GGA
State: optimized geometry Values from VASP.

Geometry as Quantum ESPRESSO input:
```
&SYSTEM
  ibrav = 0, nat = 5, ntyp = 4
/
ATOMIC_SPECIES
Mn 54.94 Mn.upf
Al 26.98 Al.upf
Bi 208.98 Bi.upf
Sb 121.76 Sb.upf
CELL_PARAMETERS angstrom
4.8796 0.0000 0.0000
0.0000 4.8796 0.0000
0.0000 0.0000 5.4420
ATOMIC_POSITIONS angstrom
Mn 0.0000 0.0000 0.0000
Al 2.4398 2.4398 2.7210
Bi 0.0000 0.0000 2.7210
Sb 0.0000 2.4398 0.0000
Sb 2.4398 0.0000 0.0000
```

Results
- Magnetization: 0.000 μB/atom
- Density: 6.8 g/cm³
- Volume: 25.92 A^3/atom
- D(E_F): 1.178 states/eV per atom
- VASP energy: -4.464 eV per atom
- Space group: No. 123